# Li2VCrP4O14, relaxed, DFT PBE with a Hubbard U
# Size of the total moment in μB/f.u.: 5.0
# SG: No. 4
# Energy above the lowest structure with this stoichiometry in meV/atom: 0
# Electronic total energy in eV for the cell shown: -318.881
data_Li2VCrP4O14
_chemical_formula_sum 'Li4 V2 Cr2 P8 O28'
_symmetry_space_group_name_H-M 'P 1'
_symmetry_Int_Tables_number 1
_cell_length_a 8.2478
_cell_length_b 7.1786
_cell_length_c 9.7686
_cell_angle_alpha 68.15
_cell_angle_beta 90.00
_cell_angle_gamma 90.00
loop_
_symmetry_equiv_pos_as_xyz
'x,y,z'
loop_
_atom_site_label
_atom_site_type_symbol
_atom_site_fract_x
_atom_site_fract_y
_atom_site_fract_z
_atom_site_occupancy
Li1 Li 0.6411 0.6688 0.7537 1
Li2 Li 0.1390 0.3265 0.7474 1
Li3 Li 0.6390 0.6735 0.2526 1
Li4 Li 0.1411 0.3312 0.2463 1
V1 V 0.0002 0.7295 0.7428 1
V2 V 0.5002 0.2705 0.2572 1
Cr1 Cr 0.5000 0.2731 0.7576 1
Cr2 Cr 0.0000 0.7269 0.2424 1
P1 P 0.2178 0.9145 0.9350 1
P2 P 0.3213 0.5238 0.9369 1
P3 P 0.8190 0.4752 0.5622 1
P4 P 0.2126 0.9141 0.4325 1
P5 P 0.7126 0.0859 0.5675 1
P6 P 0.3190 0.5248 0.4378 1
P7 P 0.8213 0.4762 0.0631 1
P8 P 0.7178 0.0855 0.0650 1
O1 O 0.3491 0.7542 0.9186 1
O2 O 0.0692 0.9203 0.8389 1
O3 O 0.8237 0.6037 0.8975 1
O4 O 0.1575 0.5073 0.8688 1
O5 O 0.4636 0.4827 0.8512 1
O6 O 0.6760 0.1471 0.9026 1
O7 O 0.3081 0.1156 0.8750 1
O8 O 0.7989 0.8836 0.6276 1
O9 O 0.1732 0.8509 0.5958 1
O10 O 0.9595 0.5156 0.6499 1
O11 O 0.6534 0.4890 0.6305 1
O12 O 0.3211 0.3958 0.6028 1
O13 O 0.5633 0.0864 0.6607 1
O14 O 0.8467 0.2443 0.5819 1
O15 O 0.3467 0.7557 0.4181 1
O16 O 0.0633 0.9136 0.3392 1
O17 O 0.8211 0.6042 0.3972 1
O18 O 0.1534 0.5110 0.3695 1
O19 O 0.4595 0.4844 0.3501 1
O20 O 0.6732 0.1491 0.4042 1
O21 O 0.2989 0.1164 0.3724 1
O22 O 0.8081 0.8844 0.1250 1
O23 O 0.1760 0.8529 0.0974 1
O24 O 0.9636 0.5173 0.1488 1
O25 O 0.6575 0.4927 0.1312 1
O26 O 0.3237 0.3963 0.1025 1
O27 O 0.5692 0.0797 0.1611 1
O28 O 0.8491 0.2458 0.0814 1


# LiVCrP4O14, relaxed, DFT PBE with a Hubbard U
# Size of the total moment in μB/f.u.: 4.0
# SG: No. 1
# Electronic total energy in eV for the cell shown: -614.589
data_LiVCrP4O14
_chemical_formula_sum 'Li4 V4 Cr4 P16 O56'
_symmetry_space_group_name_H-M 'P 1'
_symmetry_Int_Tables_number 1
_cell_length_a 8.1009
_cell_length_b 9.7555
_cell_length_c 13.3670
_cell_angle_alpha 86.90
_cell_angle_beta 89.89
_cell_angle_gamma 89.94
loop_
_symmetry_equiv_pos_as_xyz
'x,y,z'
loop_
_atom_site_label
_atom_site_type_symbol
_atom_site_fract_x
_atom_site_fract_y
_atom_site_fract_z
_atom_site_occupancy
Li1 Li 0.1330 0.1699 0.8380 1
Li2 Li 0.1311 0.4173 0.3398 1
Li3 Li 0.6356 0.5855 0.6646 1
Li4 Li 0.6345 0.8324 0.1640 1
V1 V 0.5052 0.1733 0.8621 1
V2 V 0.5037 0.4209 0.3632 1
V3 V 0.4914 0.6752 0.8644 1
V4 V 0.4926 0.9274 0.3638 1
Cr1 Cr 0.9943 0.0737 0.6374 1
Cr2 Cr 0.9923 0.3247 0.1360 1
Cr3 Cr 0.0021 0.5770 0.6351 1
Cr4 Cr 0.0034 0.8258 0.1371 1
P1 P 0.8198 0.0678 0.2559 1
P2 P 0.2212 0.0914 0.0474 1
P3 P 0.7233 0.1561 0.4538 1
P4 P 0.3196 0.1857 0.2405 1
P5 P 0.8168 0.3218 0.7588 1
P6 P 0.2214 0.3383 0.5460 1
P7 P 0.7202 0.4112 0.9544 1
P8 P 0.3158 0.4306 0.7378 1
P9 P 0.8167 0.5706 0.2605 1
P10 P 0.2203 0.5881 0.0462 1
P11 P 0.7178 0.6611 0.4534 1
P12 P 0.3152 0.6792 0.2401 1
P13 P 0.8213 0.8166 0.7577 1
P14 P 0.2210 0.8409 0.5474 1
P15 P 0.7213 0.9059 0.9527 1
P16 P 0.3194 0.9344 0.7423 1
O1 O 0.1490 0.0013 0.7494 1
O2 O 0.4564 0.0343 0.7680 1
O3 O 0.3321 0.0509 0.3061 1
O4 O 0.5712 0.0613 0.4552 1
O5 O 0.6719 0.0541 0.9198 1
O6 O 0.8507 0.1090 0.3704 1
O7 O 0.3160 0.1037 0.9468 1
O8 O 0.3528 0.1477 0.1272 1
O9 O 0.8191 0.1591 0.5495 1
O10 O 0.0695 0.1848 0.0411 1
O11 O 0.1780 0.1926 0.5799 1
O12 O 0.8167 0.1993 0.1904 1
O13 O 0.9527 0.2177 0.7416 1
O14 O 0.1481 0.2507 0.2469 1
O15 O 0.6432 0.2577 0.7593 1
O16 O 0.4564 0.2859 0.2649 1
O17 O 0.3254 0.2972 0.8056 1
O18 O 0.6659 0.3044 0.4216 1
O19 O 0.5731 0.3103 0.9534 1
O20 O 0.3154 0.3446 0.4449 1
O21 O 0.8526 0.3661 0.8715 1
O22 O 0.8151 0.4128 0.0506 1
O23 O 0.3578 0.3934 0.6243 1
O24 O 0.1747 0.4416 0.0781 1
O25 O 0.0747 0.4373 0.5374 1
O26 O 0.8160 0.4506 0.6888 1
O27 O 0.9521 0.4662 0.2424 1
O28 O 0.6432 0.5073 0.2612 1
O29 O 0.1423 0.4872 0.7408 1
O30 O 0.4521 0.5342 0.7601 1
O31 O 0.3244 0.5460 0.3088 1
O32 O 0.5692 0.5618 0.4558 1
O33 O 0.6586 0.5558 0.9205 1
O34 O 0.8533 0.6121 0.3747 1
O35 O 0.3212 0.5926 0.9487 1
O36 O 0.3562 0.6397 0.1277 1
O37 O 0.8036 0.6578 0.5542 1
O38 O 0.0747 0.6871 0.0427 1
O39 O 0.1835 0.6913 0.5757 1
O40 O 0.8170 0.7008 0.1923 1
O41 O 0.9561 0.7154 0.7357 1
O42 O 0.1427 0.7379 0.2442 1
O43 O 0.6488 0.7453 0.7581 1
O44 O 0.4525 0.7824 0.2620 1
O45 O 0.3311 0.8001 0.8088 1
O46 O 0.6628 0.8063 0.4186 1
O47 O 0.5676 0.8121 0.9567 1
O48 O 0.3236 0.8495 0.4505 1
O49 O 0.8522 0.8535 0.8742 1
O50 O 0.8064 0.9023 0.0540 1
O51 O 0.3526 0.8948 0.6301 1
O52 O 0.1846 0.9424 0.0769 1
O53 O 0.0710 0.9345 0.5450 1
O54 O 0.8183 0.9503 0.6950 1
O55 O 0.9558 0.9668 0.2351 1
O56 O 0.6483 0.9951 0.2560 1


# LiVCrP4O14, relaxed, DFT PBE with a Hubbard U
# Size of the total moment in μB/f.u.: 4.0
# SG: No. 1
# Electronic total energy in eV for the cell shown: -307.289
data_LiVCrP4O14
_chemical_formula_sum 'Li2 V2 Cr2 P8 O28'
_symmetry_space_group_name_H-M 'P 1'
_symmetry_Int_Tables_number 1
_cell_length_a 7.2319
_cell_length_b 8.0947
_cell_length_c 9.6475
_cell_angle_alpha 89.95
_cell_angle_beta 68.89
_cell_angle_gamma 89.93
loop_
_symmetry_equiv_pos_as_xyz
'x,y,z'
loop_
_atom_site_label
_atom_site_type_symbol
_atom_site_fract_x
_atom_site_fract_y
_atom_site_fract_z
_atom_site_occupancy
Li1 Li 0.0725 0.8670 0.2498 1
Li2 Li 0.9219 0.3639 0.7512 1
V1 V 0.0312 0.4953 0.2427 1
V2 V 0.5308 0.5084 0.7424 1
Cr1 Cr 0.4697 0.0075 0.2566 1
Cr2 Cr 0.9701 0.9965 0.7575 1
P1 P 0.8362 0.7787 0.0673 1
P2 P 0.4523 0.6805 0.0640 1
P3 P 0.0386 0.1828 0.4414 1
P4 P 0.3450 0.7802 0.5655 1
P5 P 0.6553 0.2796 0.4340 1
P6 P 0.9632 0.6843 0.5603 1
P7 P 0.5476 0.1792 0.9385 1
P8 P 0.1653 0.2797 0.9304 1
O1 O 0.6593 0.6469 0.0844 1
O2 O 0.7523 0.9311 0.1627 1
O3 O 0.5091 0.1828 0.1034 1
O4 O 0.3769 0.8515 0.1269 1
O5 O 0.3130 0.5439 0.1504 1
O6 O 0.0642 0.3289 0.0948 1
O7 O 0.9747 0.6842 0.1302 1
O8 O 0.5095 0.1855 0.3869 1
O9 O 0.4431 0.8252 0.4027 1
O10 O 0.1693 0.0470 0.3459 1
O11 O 0.1022 0.3566 0.3774 1
O12 O 0.9925 0.6750 0.3933 1
O13 O 0.7572 0.4277 0.3344 1
O14 O 0.8254 0.1469 0.4286 1
O15 O 0.1712 0.6434 0.5769 1
O16 O 0.2513 0.9252 0.6666 1
O17 O 0.0138 0.1829 0.6051 1
O18 O 0.8976 0.8567 0.6168 1
O19 O 0.8272 0.5463 0.6525 1
O20 O 0.5624 0.3400 0.5961 1
O21 O 0.4873 0.6790 0.6184 1
O22 O 0.0177 0.1942 0.8756 1
O23 O 0.9418 0.8143 0.9036 1
O24 O 0.6807 0.0434 0.8491 1
O25 O 0.6199 0.3511 0.8661 1
O26 O 0.4918 0.6689 0.8960 1
O27 O 0.2544 0.4337 0.8353 1
O28 O 0.3350 0.1487 0.9185 1


# Li3PaCr4O12, relaxed, DFT PBE with a Hubbard U
# Size of the total moment in μB/f.u.: 8.0
# SG: No. 204
# Electronic total energy in eV for the cell shown: -144.574
data_Li3PaCr4O12
_chemical_formula_sum 'Li3 Pa1 Cr4 O12'
_symmetry_space_group_name_H-M 'P 1'
_symmetry_Int_Tables_number 1
_cell_length_a 6.3652
_cell_length_b 6.3652
_cell_length_c 6.3652
_cell_angle_alpha 109.47
_cell_angle_beta 109.47
_cell_angle_gamma 109.47
loop_
_symmetry_equiv_pos_as_xyz
'x,y,z'
loop_
_atom_site_label
_atom_site_type_symbol
_atom_site_fract_x
_atom_site_fract_y
_atom_site_fract_z
_atom_site_occupancy
Li1 Li 0.0000 0.5000 0.5000 1
Li2 Li 0.5000 0.5000 0.0000 1
Li3 Li 0.5000 0.0000 0.5000 1
Pa1 Pa 0.0000 0.0000 0.0000 1
Cr1 Cr 0.5000 0.0000 0.0000 1
Cr2 Cr 0.5000 0.5000 0.5000 1
Cr3 Cr 0.0000 0.5000 0.0000 1
Cr4 Cr 0.0000 0.0000 0.5000 1
O1 O 0.2865 0.8205 0.1070 1
O2 O 0.7135 0.1795 0.8930 1
O3 O 0.7135 0.8205 0.5340 1
O4 O 0.8930 0.7135 0.1795 1
O5 O 0.8205 0.1070 0.2865 1
O6 O 0.1795 0.4660 0.2865 1
O7 O 0.4660 0.2865 0.1795 1
O8 O 0.1795 0.8930 0.7135 1
O9 O 0.2865 0.1795 0.4660 1
O10 O 0.1070 0.2865 0.8205 1
O11 O 0.8205 0.5340 0.7135 1
O12 O 0.5340 0.7135 0.8205 1


Question: Which of these has the highest size of the total moment?
Answer: Li3PaCr4O12


Question: Which of these has the highest electronic total energy?
Answer: Li3PaCr4O12


Question: What is the formula in the second record?
Answer: LiVCrP4O14


Question: Which of these has the highest size of the total moment?
Answer: Li3PaCr4O12